First-principles (PBE) data for Tb2DyZn2 after structural relaxation, as listed in the Alexandria database.

CIF file:
```
data_Tb2DyZn2
_chemical_formula_sum 'Tb4 Dy2 Zn4'
_cell_length_a 5.326
_cell_length_b 6.156
_cell_length_c 8.076
_cell_angle_alpha 90.00
_cell_angle_beta 109.25
_cell_angle_gamma 90.00
_space_group_name_H-M_alt 'P 1'
_space_group_IT_number 1
loop_
_space_group_symop_operation_xyz
'x,y,z'
loop_
_atom_site_label
_atom_site_type_symbol
_atom_site_fract_x
_atom_site_fract_y
_atom_site_fract_z
_atom_site_occupancy
Tb1 Tb 0.044 0.245 0.087 1
Tb2 Tb 0.202 0.656 0.403 1
Tb3 Tb 0.798 0.156 0.597 1
Tb4 Tb 0.956 0.745 0.913 1
Dy1 Dy 0.582 0.903 0.165 1
Dy2 Dy 0.418 0.403 0.835 1
Zn1 Zn 0.621 0.415 0.241 1
Zn2 Zn 0.226 0.147 0.452 1
Zn3 Zn 0.774 0.647 0.548 1
Zn4 Zn 0.379 0.915 0.759 1
```

Calculated values
DFT total energy   -34.8 eV per cell
Formation energy   -0.198 eV per atom
M_tot   0.000 μB per formula unit
Space-group type   Cmc2_1, No. 36



First-principles (PBE) data for AcTb2Nd3 after structural relaxation, as listed in the Alexandria database.

CIF file:
```
data_AcTb2Nd3
_chemical_formula_sum 'Ac1 Tb2 Nd3'
_cell_length_a 3.545
_cell_length_b 6.232
_cell_length_c 10.550
_cell_angle_alpha 107.18
_cell_angle_beta 99.67
_cell_angle_gamma 90.00
_space_group_name_H-M_alt 'P 1'
_space_group_IT_number 1
loop_
_space_group_symop_operation_xyz
'x,y,z'
loop_
_atom_site_label
_atom_site_type_symbol
_atom_site_fract_x
_atom_site_fract_y
_atom_site_fract_z
_atom_site_occupancy
Ac1 Ac 0.000 0.000 0.000 1
Tb1 Tb 0.639 0.639 0.278 1
Tb2 Tb 0.361 0.361 0.722 1
Nd1 Nd 0.000 0.500 0.000 1
Nd2 Nd 0.808 0.808 0.617 1
Nd3 Nd 0.192 0.192 0.383 1
```

Calculated values
DFT total energy   -25.6 eV per cell
Formation energy   0.352 eV per atom
M_tot   0.001 μB per formula unit
Space-group type   Immm, No. 71



First-principles (PBE) data for MgAlGa2 after structural relaxation, as listed in the Alexandria database.

CIF file:
```
data_MgAlGa2
_chemical_formula_sum 'Mg2 Al2 Ga4'
_cell_length_a 4.194
_cell_length_b 4.194
_cell_length_c 9.677
_cell_angle_alpha 77.48
_cell_angle_beta 77.48
_cell_angle_gamma 90.00
_space_group_name_H-M_alt 'P 1'
_space_group_IT_number 1
loop_
_space_group_symop_operation_xyz
'x,y,z'
loop_
_atom_site_label
_atom_site_type_symbol
_atom_site_fract_x
_atom_site_fract_y
_atom_site_fract_z
_atom_site_occupancy
Mg1 Mg 0.500 0.500 0.000 1
Mg2 Mg 0.250 0.750 0.500 1
Al1 Al 0.000 0.000 0.000 1
Al2 Al 0.750 0.250 0.500 1
Ga1 Ga 0.636 0.125 0.250 1
Ga2 Ga 0.114 0.625 0.250 1
Ga3 Ga 0.375 0.364 0.750 1
Ga4 Ga 0.875 0.886 0.750 1
```

Calculated values
DFT total energy   -22.1 eV per cell
Formation energy   0.090 eV per atom
M_tot   0.000 μB per formula unit
Space-group type   I-42d, No. 122



First-principles (PBE) data for BeTlSb2N after structural relaxation, as listed in the Alexandria database.

CIF file:
```
data_BeTlSb2N
_chemical_formula_sum 'Be1 Tl1 Sb2 N1'
_cell_length_a 4.767
_cell_length_b 4.944
_cell_length_c 4.767
_cell_angle_alpha 90.00
_cell_angle_beta 90.00
_cell_angle_gamma 90.00
_space_group_name_H-M_alt 'P 1'
_space_group_IT_number 1
loop_
_space_group_symop_operation_xyz
'x,y,z'
loop_
_atom_site_label
_atom_site_type_symbol
_atom_site_fract_x
_atom_site_fract_y
_atom_site_fract_z
_atom_site_occupancy
Sb1 Sb 0.000 0.000 0.500 1
Sb2 Sb 0.500 0.000 0.000 1
Tl1 Tl 0.000 0.500 0.000 1
Be1 Be 0.000 0.000 0.000 1
N1 N 0.500 0.500 0.500 1
```

Calculated values
DFT total energy   -16.0 eV per cell
M_tot   0.000 μB per formula unit
Formation energy from raw total energies   1342 meV/atom
Space-group type   P4/mmm, No. 123



First-principles (PBE) data for Sr8As5Au after structural relaxation, as listed in the Alexandria database.

CIF file:
```
data_Sr8As5Au
_chemical_formula_sum 'Sr8 As5 Au1'
_cell_length_a 8.265
_cell_length_b 8.265
_cell_length_c 8.265
_cell_angle_alpha 109.20
_cell_angle_beta 110.01
_cell_angle_gamma 109.20
_space_group_name_H-M_alt 'P 1'
_space_group_IT_number 1
loop_
_space_group_symop_operation_xyz
'x,y,z'
loop_
_atom_site_label
_atom_site_type_symbol
_atom_site_fract_x
_atom_site_fract_y
_atom_site_fract_z
_atom_site_occupancy
Sr1 Sr 0.121 0.758 0.023 1
Sr2 Sr 0.977 0.098 0.735 1
Sr3 Sr 0.743 0.241 0.364 1
Sr4 Sr 0.636 0.379 0.877 1
Sr5 Sr 0.498 0.621 0.257 1
Sr6 Sr 0.637 0.902 0.879 1
Sr7 Sr 0.265 0.242 0.363 1
Sr8 Sr 0.123 0.759 0.502 1
As1 As 0.014 0.382 0.128 1
As2 As 0.872 0.886 0.255 1
As3 As 0.745 0.618 0.632 1
As4 As 0.500 0.000 0.500 1
As5 As 0.368 0.114 0.986 1
Au1 Au 0.250 0.500 0.750 1
```

Calculated values
DFT total energy   -55.4 eV per cell
Formation energy   -1.100 eV per atom
M_tot   0.000 μB per formula unit
Space-group type   I-4, No. 82



First-principles (PBE) data for PrDy3Bi4 after structural relaxation, as listed in the Alexandria database.

CIF file:
```
data_PrDy3Bi4
_chemical_formula_sum 'Pr1 Dy3 Bi4'
_cell_length_a 4.521
_cell_length_b 7.826
_cell_length_c 7.826
_cell_angle_alpha 109.47
_cell_angle_beta 90.00
_cell_angle_gamma 90.00
_space_group_name_H-M_alt 'P 1'
_space_group_IT_number 1
loop_
_space_group_symop_operation_xyz
'x,y,z'
loop_
_atom_site_label
_atom_site_type_symbol
_atom_site_fract_x
_atom_site_fract_y
_atom_site_fract_z
_atom_site_occupancy
Pr1 Pr 0.500 0.000 0.000 1
Dy1 Dy 0.000 0.000 0.500 1
Dy2 Dy 0.500 0.500 0.500 1
Dy3 Dy 0.000 0.500 0.000 1
Bi1 Bi 0.000 0.257 0.257 1
Bi2 Bi 0.500 0.746 0.254 1
Bi3 Bi 0.000 0.743 0.743 1
Bi4 Bi 0.500 0.254 0.746 1
```

Calculated values
DFT total energy   -41.1 eV per cell
Formation energy   -0.878 eV per atom
M_tot   0.000 μB per formula unit
Space-group type   Cmmm, No. 65



First-principles (PBE) data for TaBe3Cd after structural relaxation, as listed in the Alexandria database.

CIF file:
```
data_TaBe3Cd
_chemical_formula_sum 'Ta1 Be3 Cd1'
_cell_length_a 4.212
_cell_length_b 4.212
_cell_length_c 4.212
_cell_angle_alpha 90.00
_cell_angle_beta 90.00
_cell_angle_gamma 90.00
_space_group_name_H-M_alt 'P 1'
_space_group_IT_number 1
loop_
_space_group_symop_operation_xyz
'x,y,z'
loop_
_atom_site_label
_atom_site_type_symbol
_atom_site_fract_x
_atom_site_fract_y
_atom_site_fract_z
_atom_site_occupancy
Be1 Be 0.000 0.500 0.000 1
Be2 Be 0.000 0.000 0.500 1
Be3 Be 0.500 0.000 0.000 1
Cd1 Cd 0.000 0.000 0.000 1
Ta1 Ta 0.500 0.500 0.500 1
```

Calculated values
DFT total energy   -17.5 eV per cell
Formation energy   1.279 eV per atom
M_tot   0.000 μB per formula unit
Space-group type   Pm-3m, No. 221



First-principles (PBE) data for Pr2Zn3Ru after structural relaxation, as listed in the Alexandria database.

CIF file:
```
data_Pr2Zn3Ru
_chemical_formula_sum 'Pr2 Zn3 Ru1'
_cell_length_a 4.863
_cell_length_b 5.418
_cell_length_c 6.300
_cell_angle_alpha 115.47
_cell_angle_beta 112.70
_cell_angle_gamma 90.00
_space_group_name_H-M_alt 'P 1'
_space_group_IT_number 1
loop_
_space_group_symop_operation_xyz
'x,y,z'
loop_
_atom_site_label
_atom_site_type_symbol
_atom_site_fract_x
_atom_site_fract_y
_atom_site_fract_z
_atom_site_occupancy
Pr1 Pr 0.715 0.215 0.429 1
Pr2 Pr 0.285 0.785 0.571 1
Zn1 Zn 0.388 0.388 0.776 1
Zn2 Zn 0.000 0.000 0.000 1
Zn3 Zn 0.612 0.612 0.224 1
Ru1 Ru 0.000 0.500 0.000 1
```

Calculated values
DFT total energy   -23.2 eV per cell
Formation energy   -0.083 eV per atom
M_tot   0.000 μB per formula unit
Space-group type   Immm, No. 71



First-principles (PBE) data for PrEr3Tm5 after structural relaxation, as listed in the Alexandria database.

CIF file:
```
data_PrEr3Tm5
_chemical_formula_sum 'Pr2 Er6 Tm10'
_cell_length_a 9.153
_cell_length_b 10.409
_cell_length_c 7.122
_cell_angle_alpha 110.01
_cell_angle_beta 90.00
_cell_angle_gamma 116.08
_space_group_name_H-M_alt 'P 1'
_space_group_IT_number 1
loop_
_space_group_symop_operation_xyz
'x,y,z'
loop_
_atom_site_label
_atom_site_type_symbol
_atom_site_fract_x
_atom_site_fract_y
_atom_site_fract_z
_atom_site_occupancy
Pr1 Pr 0.701 0.000 0.750 1
Pr2 Pr 0.299 0.000 0.250 1
Er1 Er 0.000 0.000 0.000 1
Er2 Er 0.816 0.628 0.564 1
Er3 Er 0.000 0.000 0.500 1
Er4 Er 0.184 0.372 0.436 1
Er5 Er 0.811 0.628 0.064 1
Er6 Er 0.189 0.372 0.936 1
Tm1 Tm 0.340 0.000 0.750 1
Tm2 Tm 0.516 0.672 0.834 1
Tm3 Tm 0.844 0.328 0.162 1
Tm4 Tm 0.484 0.328 0.166 1
Tm5 Tm 0.516 0.672 0.338 1
Tm6 Tm 0.660 0.000 0.250 1
Tm7 Tm 0.156 0.672 0.334 1
Tm8 Tm 0.844 0.328 0.666 1
Tm9 Tm 0.484 0.328 0.662 1
Tm10 Tm 0.156 0.672 0.838 1
```

Calculated values
DFT total energy   -79.3 eV per cell
Formation energy   0.131 eV per atom
M_tot   0.000 μB per formula unit
Space-group type   Imma, No. 74



First-principles (PBE) data for CaThAu2 after structural relaxation, as listed in the Alexandria database.

CIF file:
```
data_CaThAu2
_chemical_formula_sum 'Ca1 Th1 Au2'
_cell_length_a 4.250
_cell_length_b 4.250
_cell_length_c 7.706
_cell_angle_alpha 73.99
_cell_angle_beta 73.99
_cell_angle_gamma 60.00
_space_group_name_H-M_alt 'P 1'
_space_group_IT_number 1
loop_
_space_group_symop_operation_xyz
'x,y,z'
loop_
_atom_site_label
_atom_site_type_symbol
_atom_site_fract_x
_atom_site_fract_y
_atom_site_fract_z
_atom_site_occupancy
Ca1 Ca 0.000 0.000 0.000 1
Au1 Au 0.247 0.247 0.260 1
Au2 Au 0.753 0.753 0.740 1
Th1 Th 0.500 0.500 0.500 1
```

Calculated values
DFT total energy   -18.4 eV per cell
Formation energy   -0.602 eV per atom
M_tot   0.000 μB per formula unit
Space-group type   R-3m, No. 166



First-principles (PBE) data for TlAg2Os after structural relaxation, as listed in the Alexandria database.

CIF file:
```
data_TlAg2Os
_chemical_formula_sum 'Tl1 Ag2 Os1'
_cell_length_a 2.900
_cell_length_b 2.900
_cell_length_c 10.069
_cell_angle_alpha 90.00
_cell_angle_beta 90.00
_cell_angle_gamma 117.62
_space_group_name_H-M_alt 'P 1'
_space_group_IT_number 1
loop_
_space_group_symop_operation_xyz
'x,y,z'
loop_
_atom_site_label
_atom_site_type_symbol
_atom_site_fract_x
_atom_site_fract_y
_atom_site_fract_z
_atom_site_occupancy
Tl1 Tl 0.500 0.500 0.740 1
Os1 Os 0.000 0.000 0.490 1
Ag1 Ag 0.000 0.000 0.015 1
Ag2 Ag 0.500 0.500 0.255 1
```

Calculated values
DFT total energy   -16.6 eV per cell
Formation energy   0.677 eV per atom
M_tot   0.477 μB per formula unit
Space-group type   Cmm2, No. 35



First-principles (PBE) data for NbCo2HgCl after structural relaxation, as listed in the Alexandria database.

CIF file:
```
data_NbCo2HgCl
_chemical_formula_sum 'Nb1 Co2 Hg1 Cl1'
_cell_length_a 4.710
_cell_length_b 4.766
_cell_length_c 4.710
_cell_angle_alpha 90.00
_cell_angle_beta 90.00
_cell_angle_gamma 90.00
_space_group_name_H-M_alt 'P 1'
_space_group_IT_number 1
loop_
_space_group_symop_operation_xyz
'x,y,z'
loop_
_atom_site_label
_atom_site_type_symbol
_atom_site_fract_x
_atom_site_fract_y
_atom_site_fract_z
_atom_site_occupancy
Nb1 Nb 0.000 0.000 0.000 1
Co1 Co 0.000 0.000 0.500 1
Co2 Co 0.500 0.000 0.000 1
Hg1 Hg 0.500 0.500 0.500 1
Cl1 Cl 0.000 0.500 0.000 1
```

Calculated values
DFT total energy   -22.0 eV per cell
M_tot   2.161 μB per formula unit
Formation energy from raw total energies   888 meV/atom
Space-group type   P4/mmm, No. 123



First-principles (PBE) data for ReSNO2 after structural relaxation, as listed in the Alexandria database.

CIF file:
```
data_ReSNO2
_chemical_formula_sum 'Re1 S1 N1 O2'
_cell_length_a 3.819
_cell_length_b 3.819
_cell_length_c 4.093
_cell_angle_alpha 90.00
_cell_angle_beta 90.00
_cell_angle_gamma 90.00
_space_group_name_H-M_alt 'P 1'
_space_group_IT_number 1
loop_
_space_group_symop_operation_xyz
'x,y,z'
loop_
_atom_site_label
_atom_site_type_symbol
_atom_site_fract_x
_atom_site_fract_y
_atom_site_fract_z
_atom_site_occupancy
Re1 Re 0.000 0.000 0.000 1
S1 S 0.500 0.500 0.500 1
O1 O 0.000 0.500 0.000 1
O2 O 0.500 0.000 0.000 1
N1 N 0.000 0.000 0.500 1
```

Calculated values
DFT total energy   -34.3 eV per cell
M_tot   1.528 μB per formula unit
Formation energy from raw total energies   110 meV/atom
Space-group type   P4/mmm, No. 123